Material: SrHfNO
Method: DFT, PBE
State: optimized geometry

Cell and atoms, written as POSCAR:
```
SrHfNO
1.0
3.4481 1.7288 0.2106
-2.4723 5.0632 -1.0860
-0.8763 0.9596 6.4689
Sr Hf N O
2 2 2 2
Direct
0.0000 0.4676 0.3344
0.0000 0.9676 0.6656
0.5000 0.4904 0.8235
0.5000 0.9904 0.1765
0.0000 0.4620 0.7164
0.0000 0.9620 0.2836
0.5000 0.8340 0.9012
0.5000 0.3340 0.0988
```

Results
- energy relative to the lowest polymorph listed for this composition (meV/atom) = 79
- crystal system = orthorhombic
- magnetization (μB per cell) = 1.09